[1]
Computed, not measured: a relaxed GdEr2In3Ni3 crystal at the GGA-PBE level of DFT.

Lattice parameters (Å, degrees): 3.797 12.839 7.418 90.00 90.00 90.00
Space group Amm2 (No. 38)
One atom of each set of equivalent atoms:
1 Gd 0.000 0.000 0.000 x2
2 Er 0.000 0.205 0.617 x4
3 In 0.500 0.000 0.666 x2
4 In 0.500 0.129 0.284 x4
5 Ni 0.000 0.000 0.412 x2
6 Ni 0.500 0.167 0.911 x4

As for the crystal system: orthorhombic.


[2]
Computed, not measured: a relaxed GdErIn2Ni4 crystal at the GGA-PBE level of DFT.

Lattice parameters (Å, degrees): 4.018 5.095 7.007 90.00 90.00 90.00
Space group Pmm2 (No. 25)
One atom of each set of equivalent atoms:
1 Gd 0.000 0.000 0.000 x1
2 Er 0.000 0.500 0.466 x1
3 In 0.500 0.000 0.377 x1
4 In 0.500 0.500 0.089 x1
5 Ni 0.000 0.000 0.617 x1
6 Ni 0.000 0.500 0.844 x1
7 Ni 0.500 0.253 0.729 x2

As for the crystal system: orthorhombic.


These records have VASP energy values of -4.811 -5.083 eV/atom, in the order they appear.